The following is a DFT calculation (PBE) of Tm5Rh2Pb5 after structural relaxation.

abc: 4.5114 8.8843 8.2183
angles: 76.00 74.07 75.29
Last column: nearest neighbours and their distance in Å.
Fractional coordinates of all 12 atoms:
Tm: 0.5000 0.5000 0.5000  4 Rh 3.06, 6 Pb 3.12-3.16, 2 Tm 3.39
Tm: 0.3560 0.3585 0.9295  3 Rh 2.82-2.99
Tm: 0.3350 0.0092 0.3208  6 Pb 3.08-3.41
Tm: 0.6650 0.9908 0.6792  6 Pb 3.08-3.41
Tm: 0.6440 0.6415 0.0705  3 Rh 2.82-2.99
Rh: 0.8527 0.5483 0.7463  3 Pb 2.81-2.84, 5 Tm 2.82-3.06
Rh: 0.1473 0.4517 0.2537  3 Pb 2.81-2.84, 5 Tm 2.82-3.06
Pb: 0.9452 0.7489 0.3607  1 Rh 2.84, 4 Tm 3.15-3.16
Pb: 0.2543 0.7433 0.7482  2 Rh 2.81, 3 Tm 3.08-3.12
Pb: 0.7457 0.2567 0.2518  2 Rh 2.81, 3 Tm 3.08-3.12
Pb: 0.0548 0.2511 0.6393  1 Rh 2.84, 4 Tm 3.15-3.16
Pb: 0.0000 0.0000 0.0000  4 Pb 3.23-3.24, 4 Tm 3.41

Computed properties:
The calculation puts the density of states at the Fermi level at 4.626 states/eV/cell. The calculated formation energy is -0.5182 eV per atom.